Entry 1:
## HoEr5Zn6 (PBE-GGA)

Data for a relaxed HoEr5Zn6 crystal.

**Total magnetic moment**: 0.00 μB per cell
**Formation energy from the elements**: -0.348 eV/atom
**Symmetry**: Cmmm, No. 65

Cell: 7.914 7.914 7.093 Å, 90.00 90.00 143.17°
Atoms (fractional coordinates):
Ho  0.000  0.000  0.000
Er  0.000  0.000  0.500
Er  0.333  0.667  0.000
Er  0.334  0.666  0.500
Er  0.666  0.334  0.500
Er  0.667  0.333  0.000
Zn  0.167  0.833  0.251
Zn  0.167  0.833  0.749
Zn  0.500  0.500  0.251
Zn  0.500  0.500  0.749
Zn  0.833  0.167  0.251
Zn  0.833  0.167  0.749

=====

Entry 2:
## SrHgW2 (PBE-GGA)

Data for a relaxed SrHgW2 crystal.

**Total magnetic moment**: 0.00 μB per cell
**Formation energy from the elements**: 1.005 eV/atom
**Symmetry**: Immm, No. 71

Cell: 6.353 6.353 6.353 Å, 154.00 131.26 56.06°
Atoms (fractional coordinates):
Sr  0.000  0.000  0.000
Hg  0.500  0.500  0.000
W  0.271  0.771  0.500
W  0.729  0.229  0.500

=====

Entry 3:
## CrCdWAu2 (PBE-GGA)

Data for a relaxed CrCdWAu2 crystal.

**Total magnetic moment**: 0.61 μB per cell
**Formation energy from the elements**: 1.906 eV/atom
**Symmetry**: P4/mmm, No. 123

Cell: 4.990 4.990 5.240 Å, 90.00 90.00 90.00°
Atoms (fractional coordinates):
Cr  0.000  0.000  0.000
Cd  0.500  0.500  0.000
W  0.500  0.500  0.500
Au  0.000  0.500  0.500
Au  0.500  0.000  0.500

=====

Entry 4:
## SbTe2Pt (PBE-GGA)

Data for a relaxed SbTe2Pt crystal.

**Total magnetic moment**: 0.00 μB per cell
**Raw formation energy**: -137 meV/atom
**Symmetry**: C2, No. 5

Cell: 6.786 6.786 3.853 Å, 106.41 106.41 44.20°
Atoms (fractional coordinates):
Sb  0.000  0.000  0.000
Te  0.331  0.362  0.847
Te  0.638  0.669  0.153
Pt  0.592  0.408  0.500

=====

Entry 5:
## Tc2SbAs (PBE-GGA)

Data for a relaxed Tc2SbAs crystal.

**Total magnetic moment**: 0.00 μB per cell
**Raw formation energy**: 443 meV/atom
**Energy above the most stable polymorph in this dataset**: 0.437 eV/atom
**Symmetry**: Cmmm, No. 65

Cell: 3.097 3.097 8.201 Å, 90.00 90.00 118.05°
Atoms (fractional coordinates):
Tc  0.000  0.000  0.230
Tc  0.000  0.000  0.770
Sb  0.500  0.500  0.500
As  0.500  0.500  0.000

=====

Entry 6:
## AcThGe4 (PBE-GGA)

Data for a relaxed AcThGe4 crystal.

**Total magnetic moment**: 0.00 μB per cell
**Formation energy from the elements**: -0.302 eV/atom
**Energy above the most stable polymorph in this dataset**: 0.258 eV/atom
**Symmetry**: F-43m, No. 216

Cell: 5.802 5.802 5.802 Å, 60.00 60.00 60.00°
Atoms (fractional coordinates):
Ac  0.000  0.000  0.000
Th  0.750  0.750  0.750
Ge  0.377  0.377  0.377
Ge  0.377  0.377  0.869
Ge  0.377  0.869  0.377
Ge  0.869  0.377  0.377

=====

Entry 7:
## Tm2HfScN4 (PBE-GGA)

Data for a relaxed Tm2HfScN4 crystal.

**Total magnetic moment**: 0.00 μB per cell
**Raw formation energy**: -1884 meV/atom
**Symmetry**: P2/m, No. 10

Cell: 5.691 3.288 5.717 Å, 90.00 109.27 90.00°
Atoms (fractional coordinates):
Tm  0.000  0.000  0.000
Tm  0.500  0.500  0.000
Hf  0.000  0.500  0.500
Sc  0.500  0.000  0.500
N  0.241  0.000  0.734
N  0.250  0.500  0.264
N  0.750  0.500  0.736
N  0.759  0.000  0.266

=====

Entry 8:
## LaGdHgPb (PBE-GGA)

Data for a relaxed LaGdHgPb crystal.

**Total magnetic moment**: 7.46 μB per cell
**Formation energy from the elements**: -0.522 eV/atom
**Symmetry**: F-43m, No. 216

Cell: 5.504 5.504 5.504 Å, 60.00 60.00 60.00°
Atoms (fractional coordinates):
La  0.000  0.000  0.000
Gd  0.500  0.500  0.500
Hg  0.250  0.250  0.250
Pb  0.750  0.750  0.750

=====

Entry 9:
## IrBrN2 (PBE-GGA)

Data for a relaxed IrBrN2 crystal.

**Total magnetic moment**: 0.00 μB per cell
**Raw formation energy**: 2416 meV/atom
**Energy above the most stable polymorph in this dataset**: 1.512 eV/atom
**Symmetry**: Fm-3m, No. 225

Cell: 4.009 4.009 4.009 Å, 60.00 60.00 60.00°
Atoms (fractional coordinates):
Ir  0.000  0.000  0.000
Br  0.500  0.500  0.500
N  0.250  0.250  0.250
N  0.750  0.750  0.750

=====

Entry 10:
## AcSmTl4 (PBE-GGA)

Data for a relaxed AcSmTl4 crystal.

**Total magnetic moment**: 0.00 μB per cell
**Formation energy from the elements**: -0.031 eV/atom
**Energy above the most stable polymorph in this dataset**: 0.133 eV/atom
**Symmetry**: C2/m, No. 12

Cell: 5.123 5.123 8.315 Å, 90.08 90.08 90.30°
Atoms (fractional coordinates):
Ac  0.000  0.000  0.000
Sm  0.500  0.500  0.500
Tl  0.001  0.499  0.723
Tl  0.499  0.001  0.723
Tl  0.501  0.999  0.277
Tl  0.999  0.501  0.277

=====

Entry 11:
## HoTl3 (PBE-GGA)

Data for a relaxed HoTl3 crystal.

**Total magnetic moment**: 0.00 μB per cell
**Formation energy from the elements**: -0.148 eV/atom
**Symmetry**: I4/mmm, No. 139

Cell: 6.047 6.047 6.047 Å, 134.84 134.84 65.77°
Atoms (fractional coordinates):
Ho  0.000  0.000  0.000
Tl  0.250  0.750  0.500
Tl  0.500  0.500  0.000
Tl  0.750  0.250  0.500

=====

Entry 12:
## PmInCoAu (PBE-GGA)

Data for a relaxed PmInCoAu crystal.

**Total magnetic moment**: 1.52 μB per cell
**Formation energy from the elements**: -0.252 eV/atom
**Symmetry**: F-43m, No. 216

Cell: 4.883 4.883 4.883 Å, 60.00 60.00 60.00°
Atoms (fractional coordinates):
Pm  0.000  0.000  0.000
In  0.500  0.500  0.500
Co  0.250  0.250  0.250
Au  0.750  0.750  0.750